1.
The following is a PBE calculation of a relaxed structure of UVN, from Alexandria via LeMat-Bulk.

Its distance to the lowest polymorph of the same formula is 0.00 eV per formula unit. The electronic total energy is -0.75070 Ry/atom. The value obtained for the uncorrected formation energy is -0.636 eV per atom. The value obtained for the density of states at the Fermi level is 4.2 states/eV per cell.

a = 5.461 Å, b = 2.946 Å, c = 2.946 Å
α = 120.00°, β = 90.00°, γ = 90.00°
Fractional positions:
U1 0.604 0.333 0.667
V1 0.103 0.000 0.000
N1 0.293 0.667 0.333



2.
The following is a PBE calculation of a relaxed structure of Li7Mg2Au3, from Alexandria via LeMat-Bulk.

The electronic total energy is -0.18501 Ry/atom. The calculation puts the formation energy at -0.316 eV/atom. The value obtained for the density of states at the Fermi level is 4.2 states/eV per cell.

a = 2.996 Å, b = 4.816 Å, c = 14.516 Å
α = 83.67°, β = 90.00°, γ = 90.00°
Fractional positions:
Li1 0.500 0.078 0.189
Li2 0.500 0.922 0.811
Li3 0.500 0.763 0.500
Li4 0.000 0.571 0.143
Li5 0.500 0.237 0.500
Li6 0.000 0.000 0.000
Li7 0.000 0.429 0.857
Au1 0.000 0.951 0.647
Au2 0.000 0.049 0.353
Au3 0.500 0.500 0.000
Mg1 0.500 0.441 0.680
Mg2 0.500 0.559 0.320



3.
The following is a PBE calculation of a relaxed structure of AlRhF2, from Alexandria via LeMat-Bulk.

Its distance to the lowest polymorph of the same formula is 0.00 eV per formula unit. The electronic total energy is -0.35475 Ry/atom. The value obtained for the uncorrected formation energy is -1.117 eV per atom. The value obtained for the density of states at the Fermi level is 1.9 states/eV per cell.

a = 7.904 Å, b = 7.904 Å, c = 7.904 Å
α = 20.29°, β = 20.29°, γ = 20.29°
Site moments in Bohr magnetons follow the coordinates.
Fractional positions:
Rh1 0.500 0.500 0.500  1.50
Al1 0.000 0.000 0.000  0.02
F1 0.922 0.922 0.922  0.04
F2 0.078 0.078 0.078  0.04



- Which value of density of states at the Fermi level does entry 1 give?
  4.2 states/eV per cell